Below is crystalline DySbN2O at its relaxed geometry, with properties calculated at the PBE-GGA level.

Cell: 5.481 5.589 5.933 Å, 91.67 116.06 119.32°
Space group P1 (No. 1)
Inequivalent atoms, fractional coordinates:
Dy1 0.000 0.000 0.000 [1 per cell]
Dy2 0.458 0.730 0.196 [1 per cell]
Sb1 0.052 0.545 0.556 [1 per cell]
Sb2 0.431 0.213 0.643 [1 per cell]
N1 0.222 0.397 0.379 [1 per cell]
N2 0.505 0.926 0.834 [1 per cell]
N3 0.911 0.567 0.828 [1 per cell]
N4 0.971 0.819 0.360 [1 per cell]
O1 0.276 0.338 0.857 [1 per cell]
O2 0.567 0.156 0.360 [1 per cell]

Values from the calculation:
As for the size of the total moment: 0.0 μB/cell. The total energy is -70.49 eV for the cell shown.